DFT (PBE) results for a geometry-optimized CsSnMo2Br structure.

## Properties
The mass density is 4.588 g/cm³. The calculation puts the formation energy from raw total energies at 2.371 eV per atom. As for the calculated volume: 189.4 Å³ per cell. The total magnetization is 7.600 μB/f.u. The total energy is -3.2675 eV per atom.

Lattice parameters (Å, degrees): 5.5934 5.5934 6.0549 90.00 90.00 90.00
Site moments in Bohr magnetons follow the coordinates.
Fractional coordinates of all 5 atoms:
Cs (0.0000, 0.0000, 0.0000)  0.10
Mo (0.0000, 0.5000, 0.0000)  3.28
Mo (0.5000, 0.0000, 0.0000)  3.28
Sn (0.5000, 0.5000, 0.5000)  -0.27
Br (0.0000, 0.0000, 0.5000)  0.05